Compound: In4AsPt
Source: Alexandria
Functional: PBE-GGA
Structure: relaxed

abc: 5.916 5.916 5.916
angles: 60.00 60.00 60.00
Element x y z (fractional)
In (0.375, 0.874, 0.375)
In (0.375, 0.375, 0.874)
In (0.874, 0.375, 0.375)
In (0.375, 0.375, 0.375)
Pt (0.750, 0.750, 0.750)
As (0.000, 0.000, 0.000)

Values from the calculation:
Formation enthalpy at 0 K   0.5000 eV/atom
Magnetization   0.0 Bohr magnetons per cell
Symmetry   F-43m (216)

---

Compound: InAs2Pt
Source: Alexandria
Functional: PBE-GGA
Structure: relaxed

abc: 6.661 6.661 6.661
angles: 148.03 146.95 46.65
Element x y z (fractional)
As (0.241, 0.741, 0.500)
As (0.925, 0.925, 0.000)
Pt (0.779, 0.279, 0.500)
In (0.555, 0.555, 0.000)

Values from the calculation:
Formation enthalpy at 0 K   -0.0077 eV/atom
Magnetization   0.0 Bohr magnetons per cell
Symmetry   Imm2 (44)

---

Compound: InAs2Pt
Source: Alexandria
Functional: PBE-GGA
Structure: relaxed

abc: 3.062 3.062 8.879
angles: 90.00 90.00 90.01
Element x y z (fractional)
In (0.500, 0.500, 0.250)
Pt (0.500, 0.500, 0.750)
As (0.000, 0.000, 0.939)
As (0.000, 0.000, 0.561)

Values from the calculation:
Formation enthalpy at 0 K   0.0141 eV/atom
Magnetization   0.0 Bohr magnetons per cell
Symmetry   P4/mmm (123)

---

Compound: InAs2Pt
Source: Alexandria
Functional: PBE-GGA
Structure: relaxed

abc: 4.649 4.649 3.809
angles: 90.00 90.00 107.63
Element x y z (fractional)
Pt (0.000, 0.500, 0.500)
In (0.500, 0.000, 0.500)
As (0.000, 0.000, 0.000)
As (0.500, 0.500, 0.000)

Values from the calculation:
Formation enthalpy at 0 K   0.1242 eV/atom
Magnetization   0.0 Bohr magnetons per cell
Symmetry   Cmmm (65)

---

Compound: InAs2Pt
Source: Alexandria
Functional: PBE-GGA
Structure: relaxed

abc: 4.109 4.109 6.850
angles: 71.55 71.55 53.17
Element x y z (fractional)
In (0.491, 0.491, 0.474)
As (0.964, 0.964, 0.022)
As (0.784, 0.784, 0.772)
Pt (0.261, 0.261, 0.232)

Values from the calculation:
Formation enthalpy at 0 K   -0.0829 eV/atom
Magnetization   0.0 Bohr magnetons per cell
Symmetry   Cm (8)

---

Compound: InAs2Pt
Source: Alexandria
Functional: PBE-GGA
Structure: relaxed

abc: 5.034 5.034 3.018
angles: 90.00 90.00 90.00
Element x y z (fractional)
As (0.000, 0.000, 0.000)
As (0.500, 0.500, 0.000)
In (0.500, 0.000, 0.500)
Pt (0.000, 0.500, 0.500)

Values from the calculation:
Formation enthalpy at 0 K   0.2064 eV/atom
Magnetization   0.0 Bohr magnetons per cell
Symmetry   P4/mmm (123)

---

Compound: InAs2Pt
Source: Alexandria
Functional: PBE-GGA
Structure: relaxed

abc: 5.006 5.006 5.006
angles: 127.55 127.55 77.35
Element x y z (fractional)
As (0.000, 0.000, 0.000)
As (0.250, 0.750, 0.500)
In (0.500, 0.500, 0.000)
Pt (0.750, 0.250, 0.500)

Values from the calculation:
Formation enthalpy at 0 K   0.1376 eV/atom
Magnetization   0.0 Bohr magnetons per cell
Symmetry   I-4m2 (119)

---

Compound: In2As2Pt
Source: Alexandria
Functional: PBE-GGA
Structure: relaxed

abc: 6.318 6.318 5.939
angles: 90.00 90.00 90.00
Element x y z (fractional)
In (0.813, 0.313, 0.500)
In (0.687, 0.813, 0.500)
In (0.313, 0.187, 0.500)
In (0.187, 0.687, 0.500)
As (0.864, 0.636, 0.000)
As (0.636, 0.136, 0.000)
As (0.364, 0.864, 0.000)
As (0.136, 0.364, 0.000)
Pt (0.500, 0.500, 0.000)
Pt (0.000, 0.000, 0.000)

Values from the calculation:
Formation enthalpy at 0 K   -0.1048 eV/atom
Magnetization   0.0 Bohr magnetons per cell
Symmetry   P4/mbm (127)

---

Compound: InAs2Pt
Source: Alexandria
Functional: PBE-GGA
Structure: relaxed

abc: 6.687 6.687 6.687
angles: 34.61 34.61 34.61
Element x y z (fractional)
As (0.477, 0.477, 0.477)
As (0.023, 0.023, 0.023)
Pt (0.750, 0.750, 0.750)
In (0.250, 0.250, 0.250)

Values from the calculation:
Formation enthalpy at 0 K   -0.2063 eV/atom
Magnetization   0.0 Bohr magnetons per cell
Symmetry   R-3m (166)

---

Compound: InAs2Pt
Source: Alexandria
Functional: PBE-GGA
Structure: relaxed

abc: 5.136 5.136 5.136
angles: 130.28 130.28 72.96
Element x y z (fractional)
As (0.500, 0.500, 0.000)
As (0.000, 0.000, 0.000)
In (0.750, 0.250, 0.500)
Pt (0.250, 0.750, 0.500)

Values from the calculation:
Formation enthalpy at 0 K   0.1850 eV/atom
Magnetization   0.0 Bohr magnetons per cell
Symmetry   I4/mmm (139)

---

Compound: InAs2Pt2
Source: Alexandria
Functional: PBE-GGA
Structure: relaxed

abc: 4.309 4.309 6.673
angles: 71.17 71.17 90.00
Element x y z (fractional)
In (0.000, 0.000, 0.000)
Pt (0.250, 0.750, 0.500)
Pt (0.750, 0.250, 0.500)
As (0.639, 0.639, 0.721)
As (0.361, 0.361, 0.279)

Values from the calculation:
Formation enthalpy at 0 K   -0.1436 eV/atom
Magnetization   0.0 Bohr magnetons per cell
Symmetry   I4/mmm (139)
Excess energy over the best structure of this formula in the dataset   0.000 eV per atom

---

Compound: InAs2Pt
Source: Alexandria
Functional: PBE-GGA
Structure: relaxed

abc: 5.872 3.920 3.925
angles: 90.56 70.28 109.69
Element x y z (fractional)
As (0.000, 0.500, 0.500)
As (0.000, 0.000, 0.000)
Pt (0.500, 0.000, 0.500)
In (0.500, 0.500, 0.000)

Values from the calculation:
Formation enthalpy at 0 K   0.0091 eV/atom
Magnetization   0.0 Bohr magnetons per cell
Symmetry   Fmmm (69)

---

Compound: InAs2Pt
Source: Alexandria
Functional: PBE-GGA
Structure: relaxed

abc: 5.229 2.900 5.191
angles: 90.00 90.00 90.00
Element x y z (fractional)
As (0.500, 0.000, 0.125)
As (0.000, 0.001, 0.125)
In (0.000, 0.500, 0.625)
Pt (0.500, 0.999, 0.625)

Values from the calculation:
Formation enthalpy at 0 K   -0.0166 eV/atom
Magnetization   0.0 Bohr magnetons per cell
Symmetry   Pmmm (47)

---

Compound: InAsPtSe2
Source: Alexandria
Functional: PBE-GGA
Structure: relaxed

abc: 5.151 5.151 5.181
angles: 90.00 90.00 90.00
Element x y z (fractional)
As (0.000, 0.000, 0.500)
Se (0.000, 0.500, 0.000)
Se (0.500, 0.000, 0.000)
Pt (0.500, 0.500, 0.500)
In (0.000, 0.000, 0.000)

Values from the calculation:
E_form (uncorrected)   1.15 eV/atom
Magnetization   0.0 Bohr magnetons per cell
Symmetry   P4/mmm (123)
Excess energy over the best structure of this formula in the dataset   0.896 eV per atom

---

Compound: InAsPtSe2
Source: Alexandria
Functional: PBE-GGA
Structure: relaxed

abc: 5.373 5.373 4.645
angles: 90.00 90.00 90.00
Element x y z (fractional)
As (0.000, 0.000, 0.500)
Se (0.500, 0.000, 0.000)
Se (0.000, 0.500, 0.000)
Pt (0.000, 0.000, 0.000)
In (0.500, 0.500, 0.500)

Values from the calculation:
E_form (uncorrected)   0.26 eV/atom
Magnetization   0.0 Bohr magnetons per cell
Symmetry   P4/mmm (123)
Excess energy over the best structure of this formula in the dataset   0.000 eV per atom

---

Compound: TiInAsPt2
Source: Alexandria
Functional: PBE-GGA
Structure: relaxed

abc: 4.718 4.726 4.718
angles: 90.00 90.00 90.00
Element x y z (fractional)
Pt (0.000, 0.000, 0.500)
Pt (0.500, 0.000, 0.000)
As (0.000, 0.000, 0.000)
Ti (0.000, 0.500, 0.000)
In (0.500, 0.500, 0.500)

Values from the calculation:
Formation enthalpy at 0 K   0.0738 eV/atom
Magnetization   0.0 Bohr magnetons per cell
Symmetry   P4/mmm (123)

---

Compound: Tl2InAsPt
Source: Alexandria
Functional: PBE-GGA
Structure: relaxed

abc: 5.539 4.821 5.539
angles: 90.00 90.00 90.00
Element x y z (fractional)
In (0.500, 0.500, 0.500)
As (0.000, 0.500, 0.000)
Tl (0.500, 0.000, 0.000)
Tl (0.000, 0.000, 0.500)
Pt (0.000, 0.000, 0.000)

Values from the calculation:
Formation enthalpy at 0 K   0.1446 eV/atom
Magnetization   0.0 Bohr magnetons per cell
Symmetry   P4/mmm (123)

---

Compound: InAs2PtW
Source: Alexandria
Functional: PBE-GGA
Structure: relaxed

abc: 4.837 5.151 4.837
angles: 90.00 90.00 90.00
Each line ends with the local moment (μB).
Element x y z (fractional)
Pt (0.000, 0.000, 0.000)  0.05
W (0.000, 0.500, 0.000)  1.89
As (0.500, 0.000, 0.000)  -0.04
As (0.000, 0.000, 0.500)  -0.04
In (0.500, 0.500, 0.500)  -0.03

Values from the calculation:
Formation enthalpy at 0 K   1.1067 eV/atom
Magnetization   2.3 Bohr magnetons per cell
Symmetry   P4/mmm (123)

---

Compound: YInAsPt2
Source: Alexandria
Functional: PBE-GGA
Structure: relaxed

abc: 4.967 5.078 4.967
angles: 90.00 90.00 90.00
Element x y z (fractional)
Y (0.500, 0.500, 0.500)
As (0.000, 0.500, 0.000)
Pt (0.000, 0.000, 0.500)
Pt (0.500, 0.000, 0.000)
In (0.000, 0.000, 0.000)

Values from the calculation:
Formation enthalpy at 0 K   0.1867 eV/atom
Magnetization   0.0 Bohr magnetons per cell
Symmetry   P4/mmm (123)

---

Compound: PuInAs2
Source: Alexandria
Functional: PBE-GGA
Structure: relaxed

abc: 4.481 4.481 8.133
angles: 74.01 74.01 60.00
Each line ends with the local moment (μB).
Element x y z (fractional)
Pu (0.500, 0.500, 0.500)  5.08
As (0.891, 0.891, 0.326)  -0.09
As (0.109, 0.109, 0.674)  -0.09
In (0.000, 0.000, 0.000)  0.03

Values from the calculation:
Formation enthalpy at 0 K   -0.1689 eV/atom
Magnetization   5.0 Bohr magnetons per cell
Symmetry   R-3m (166)
Excess energy over the best structure of this formula in the dataset   0.333 eV per atom

---

Compound: PuInAs
Source: Alexandria
Functional: PBE-GGA
Structure: relaxed

abc: 3.174 5.079 5.079
angles: 120.00 90.00 90.00
Each line ends with the local moment (μB).
Element x y z (fractional)
Pu (0.666, 0.667, 0.333)  5.64
As (0.167, 0.000, 0.000)  -0.01
In (0.166, 0.333, 0.667)  0.02

Values from the calculation:
Formation enthalpy at 0 K   -0.2564 eV/atom
Magnetization   6.1 Bohr magnetons per cell
Symmetry   P-6m2 (187)
Excess energy over the best structure of this formula in the dataset   0.132 eV per atom

---

Compound: PuInAs
Source: Alexandria
Functional: PBE-GGA
Structure: relaxed

abc: 4.469 6.712 10.568
angles: 35.28 90.00 70.55
Each line ends with the local moment (μB).
Element x y z (fractional)
In (0.741, 0.388, 0.940)  0.02
In (0.978, 0.916, 0.785)  0.07
Pu (0.505, 0.862, 0.383)  5.53
Pu (0.612, 0.648, 0.138)  5.48
As (0.124, 0.624, 0.670)  -0.06
As (0.178, 0.514, 0.383)  -0.08

Values from the calculation:
Formation enthalpy at 0 K   -0.3882 eV/atom
Magnetization   11.9 Bohr magnetons per cell
Symmetry   Cm (8)
Excess energy over the best structure of this formula in the dataset   0.000 eV per atom

---

Compound: Pu2InAs
Source: Alexandria
Functional: PBE-GGA
Structure: relaxed

abc: 3.788 3.788 6.812
angles: 90.00 90.00 90.00
Each line ends with the local moment (μB).
Element x y z (fractional)
Pu (0.000, 0.000, 0.783)  5.51
Pu (0.000, 0.000, 0.217)  5.51
In (0.500, 0.500, 0.500)  0.03
As (0.500, 0.500, 0.000)  -0.12

Values from the calculation:
Formation enthalpy at 0 K   -0.4984 eV/atom
Magnetization   11.6 Bohr magnetons per cell
Symmetry   P4/mmm (123)
Excess energy over the best structure of this formula in the dataset   0.000 eV per atom

---

Compound: Pu2InAs
Source: Alexandria
Functional: PBE-GGA
Structure: relaxed

abc: 4.319 4.717 4.717
angles: 90.00 90.00 90.00
Each line ends with the local moment (μB).
Element x y z (fractional)
Pu (0.000, 0.500, 0.000)  5.56
Pu (0.000, 0.000, 0.500)  5.56
In (0.500, 0.000, 0.000)  0.03
As (0.500, 0.500, 0.500)  -0.10

Values from the calculation:
Formation enthalpy at 0 K   -0.4192 eV/atom
Magnetization   11.8 Bohr magnetons per cell
Symmetry   P4/mmm (123)
Excess energy over the best structure of this formula in the dataset   0.079 eV per atom

---

Compound: Pu2InAs
Source: Alexandria
Functional: PBE-GGA
Structure: relaxed

abc: 3.849 3.849 8.998
angles: 77.65 77.65 60.00
Each line ends with the local moment (μB).
Element x y z (fractional)
Pu (0.264, 0.264, 0.209)  5.34
Pu (0.736, 0.736, 0.791)  5.34
As (0.000, 0.000, 0.000)  -0.15
In (0.500, 0.500, 0.500)  0.03

Values from the calculation:
Formation enthalpy at 0 K   -0.3746 eV/atom
Magnetization   11.4 Bohr magnetons per cell
Symmetry   R-3m (166)
Excess energy over the best structure of this formula in the dataset   0.124 eV per atom

---

Compound: PuInAs2
Source: Alexandria
Functional: PBE-GGA
Structure: relaxed

abc: 4.207 4.207 6.908
angles: 72.27 72.27 60.00
Each line ends with the local moment (μB).
Element x y z (fractional)
As (0.081, 0.081, 0.757)  0.08
As (0.257, 0.257, 0.230)  0.09
In (0.495, 0.495, 0.515)  -0.03
Pu (0.667, 0.667, 0.998)  -5.06

Values from the calculation:
Formation enthalpy at 0 K   -0.4250 eV/atom
Magnetization   5.0 Bohr magnetons per cell
Symmetry   R3m (160)
Excess energy over the best structure of this formula in the dataset   0.077 eV per atom

---

Compound: PuInAs2
Source: Alexandria
Functional: PBE-GGA
Structure: relaxed

abc: 3.854 4.710 4.710
angles: 90.00 90.00 90.00
Each line ends with the local moment (μB).
Element x y z (fractional)
In (0.500, 0.000, 0.000)  0.00
As (0.000, 0.500, 0.000)  -0.10
As (0.000, 0.000, 0.500)  -0.10
Pu (0.500, 0.500, 0.500)  4.97

Values from the calculation:
Formation enthalpy at 0 K   -0.5017 eV/atom
Magnetization   4.8 Bohr magnetons per cell
Symmetry   P4/mmm (123)
Excess energy over the best structure of this formula in the dataset   0.000 eV per atom

---

Compound: Rb3InAs
Source: Alexandria
Functional: PBE-GGA
Structure: relaxed

abc: 8.845 8.845 8.845
angles: 101.43 114.63 112.64
Element x y z (fractional)
As (0.713, 0.392, 0.820)
As (0.572, 0.892, 0.180)
Rb (0.900, 0.146, 0.667)
Rb (0.479, 0.232, 0.333)
Rb (0.900, 0.732, 0.254)
Rb (0.479, 0.646, 0.746)
Rb (0.086, 0.745, 0.842)
Rb (0.903, 0.245, 0.158)
In (0.405, 0.643, 0.262)
In (0.381, 0.143, 0.738)

Values from the calculation:
Formation enthalpy at 0 K   -0.1828 eV/atom
Magnetization   1.7 Bohr magnetons per cell
Symmetry   Ima2 (46)
Excess energy over the best structure of this formula in the dataset   0.000 eV per atom

---

Compound: RbIn2As
Source: Alexandria
Functional: PBE-GGA
Structure: relaxed

abc: 4.273 4.273 10.615
angles: 78.39 78.39 60.00
Element x y z (fractional)
Rb (0.000, 0.000, 0.000)
In (0.882, 0.882, 0.355)
In (0.118, 0.118, 0.645)
As (0.500, 0.500, 0.500)

Values from the calculation:
Formation enthalpy at 0 K   -0.0147 eV/atom
Magnetization   0.0 Bohr magnetons per cell
Symmetry   R-3m (166)

---

What are the Fermi-level density of states values for these records? In order: 4.87, 1.92, 1.51, 2.12, 0.99, 2.52, 1.64, 1.12, 1.42, 1.42, 2.47, 1.58, 1.59, 7.12, 7.24, 3.32, 2.16, 4.20, 3.17, 11.00, 7.93, 8.68, 12.85, 12.62, 19.39, 8.34, 8.59, 2.82, 0.29 states/eV/f.u..